A relaxed structure of Ba2TcHg, computed with GGA-PBEsol.

Unit cell a=5.3303 b=5.3303 c=5.3303 alpha=60.00 beta=60.00 gamma=60.00
Fractional coordinates of all 4 atoms:
Ba1 0.0000 0.0000 0.0000
Ba2 0.2500 0.2500 0.2500
Tc1 0.7500 0.7500 0.7500
Hg1 0.5000 0.5000 0.5000

Total magnetic moment in μB per formula unit: 1.50
E above lowest polymorph in meV per atom: 225
Space-group type: No. 216
D(E_F) in states/eV/cell: 6.0
Uncorrected energy in eV/f.u.: -13.6
Formation energy from the elements in eV/f.u.: 2.495
Mass density in g cm⁻³: 8.9